No. 1
Density functional theory data (GGA-PBE) for a geometry-optimized Li4ThP2 structure.

Values from the calculation:
As for the crystal system: tetragonal. For the density of states at the Fermi level, the calculation gives 4.91 states/eV per cell. As for the space-group type: No. 136. As for the total magnetization: 0.000 μB/f.u. The energy of formation from the pure elements comes out at -73 kJ/mol of atoms.

Lattice parameters (Å, degrees): 3.980 7.635 7.635 90.00 90.00 90.00
Element x y z (fractional)
Li: 0.000 0.094 0.332
Li: 0.000 0.906 0.668
Li: 0.500 0.168 0.594
Li: 0.500 0.832 0.406
Li: 0.500 0.406 0.832
Li: 0.500 0.594 0.168
Li: 0.000 0.332 0.094
Li: 0.000 0.668 0.906
Th: 0.500 0.000 0.000
Th: 0.000 0.500 0.500
P: 0.000 0.213 0.787
P: 0.000 0.787 0.213
P: 0.500 0.713 0.713
P: 0.500 0.287 0.287



No. 2
Density functional theory data (GGA-PBE) for a geometry-optimized Li5ThP3 structure.

Values from the calculation:
As for the crystal system: orthorhombic. For the density of states at the Fermi level, the calculation gives 0.39 states/eV per cell. As for the space-group type: No. 63. As for the total magnetization: 0.000 μB/f.u. The energy of formation from the pure elements comes out at -83 kJ/mol of atoms.

Lattice parameters (Å, degrees): 3.926 6.923 11.474 90.00 90.00 106.47
Element x y z (fractional)
Li: 0.809 0.619 0.455
Li: 0.191 0.381 0.955
Li: 0.000 0.000 0.500
Li: 0.000 0.000 0.000
Li: 0.442 0.884 0.138
Li: 0.558 0.116 0.862
Li: 0.558 0.116 0.638
Li: 0.809 0.619 0.045
Li: 0.191 0.381 0.545
Li: 0.442 0.884 0.362
Th: 0.807 0.615 0.750
Th: 0.193 0.385 0.250
P: 0.374 0.749 0.924
P: 0.866 0.733 0.250
P: 0.374 0.749 0.576
P: 0.626 0.251 0.424
P: 0.134 0.267 0.750
P: 0.626 0.251 0.076



No. 3
Density functional theory data (GGA-PBE) for a geometry-optimized LiThP structure.

Values from the calculation:
As for the crystal system: hexagonal. For the density of states at the Fermi level, the calculation gives 0.36 states/eV per cell. As for the space-group type: No. 187. As for the total magnetization: 0.000 μB/f.u. The energy of formation from the pure elements comes out at -89 kJ/mol of atoms.

Lattice parameters (Å, degrees): 4.068 4.088 4.088 120.00 90.00 90.00
Element x y z (fractional)
P: 0.166 0.000 0.000
Th: 0.667 0.667 0.333
Li: 0.167 0.333 0.667



No. 4
Density functional theory data (GGA-PBE) for a geometry-optimized LiTmTh2P4 structure.

Values from the calculation:
As for the crystal system: monoclinic. For the density of states at the Fermi level, the calculation gives 2.38 states/eV per cell. As for the space-group type: No. 10. As for the total magnetization: 0.000 μB/f.u. The energy of formation from the pure elements comes out at -119 kJ/mol of atoms.

Lattice parameters (Å, degrees): 4.135 7.144 6.837 109.96 90.00 90.00
Element x y z (fractional)
Li: 0.500 0.500 0.000
Tm: 0.000 0.000 0.000
Th: 0.500 0.000 0.500
Th: 0.000 0.500 0.500
P: 0.500 0.247 0.241
P: 0.500 0.753 0.759
P: 0.000 0.247 0.750
P: 0.000 0.753 0.250



No. 5
Density functional theory data (GGA-PBE) for a geometry-optimized LiYTh2P4 structure.

Values from the calculation:
As for the crystal system: monoclinic. For the density of states at the Fermi level, the calculation gives 2.38 states/eV per cell. As for the space-group type: No. 10. As for the total magnetization: 0.000 μB/f.u. The energy of formation from the pure elements comes out at -120 kJ/mol of atoms.

Lattice parameters (Å, degrees): 4.150 7.160 6.910 109.85 90.00 90.00
Element x y z (fractional)
Li: 0.500 0.500 0.000
Y: 0.000 0.000 0.000
Th: 0.500 0.000 0.500
Th: 0.000 0.500 0.500
P: 0.500 0.249 0.245
P: 0.500 0.751 0.755
P: 0.000 0.247 0.746
P: 0.000 0.753 0.254



No. 6
Density functional theory data (GGA-PBE) for a geometry-optimized LiTh2ZrP4 structure.

Values from the calculation:
As for the crystal system: monoclinic. For the density of states at the Fermi level, the calculation gives 1.81 states/eV per cell. As for the space-group type: No. 10. As for the total magnetization: 0.000 μB/f.u. The energy of formation from the pure elements comes out at -115 kJ/mol of atoms.

Lattice parameters (Å, degrees): 4.028 7.035 6.671 110.06 90.00 90.00
Element x y z (fractional)
Li: 0.500 0.500 0.000
Th: 0.500 0.000 0.500
Th: 0.000 0.500 0.500
Zr: 0.000 0.000 0.000
P: 0.500 0.240 0.228
P: 0.500 0.760 0.772
P: 0.000 0.249 0.768
P: 0.000 0.751 0.232